DFT (PBE+U) results for a geometry-optimized PuVRuO6 structure.

Output
**Total moment**: 2.98 μB per formula unit
**DOS(E_F)**: 6.29 states/eV/f.u.
**Volume**: 11.62 A^3/atom
**DFT total energy**: -8.618 eV per atom

Unit cell a=5.2528 b=5.2528 c=8.7560 alpha=90.00 beta=90.00 gamma=120.00
Atoms (fractional coordinates):
Pu: 0.3333 0.6667 0.2500
Pu: 0.6667 0.3333 0.7500
V: 0.3333 0.6667 0.7500
V: 0.6667 0.3333 0.2500
Ru: 0.0000 0.0000 0.0000
Ru: 0.0000 0.0000 0.5000
O: 0.0192 0.3357 0.6262
O: 0.0192 0.6834 0.8738
O: 0.3166 0.3357 0.8738
O: 0.3166 0.9808 0.6262
O: 0.3357 0.0192 0.1262
O: 0.3357 0.3166 0.3738
O: 0.6643 0.6834 0.6262
O: 0.6643 0.9808 0.8738
O: 0.6834 0.0192 0.3738
O: 0.6834 0.6643 0.1262
O: 0.9808 0.3166 0.1262
O: 0.9808 0.6643 0.3738